The following is a DFT calculation (PBE) of a relaxed CdPOsO crystal.

a b c (Å): 3.3513 6.7964 5.5682
angles (deg): 90.00 90.00 90.00
Space group Pmc2_1 (No. 26)
One atom of each set of equivalent atoms:
Cd 0.0000 0.0623 0.0000
P 0.0000 0.3272 0.4331
Os 0.5000 0.4784 0.6500
O 0.5000 0.2771 0.9218

## Properties
Energy relative to the lowest polymorph listed for this composition   0.0 kJ/mol of formula units
Crystal system   orthorhombic
Calculated volume   15.853 A^3/atom
Total energy   -0.4338 Ry/atom

The following is a DFT calculation (PBE) of a relaxed YErTlCu2 crystal.

a b c (Å): 3.6094 4.2421 14.0269
angles (deg): 90.00 90.00 90.00
Space group Amm2 (No. 38)
One atom of each set of equivalent atoms:
Y 0.0000 0.0000 0.0000
Er 0.0000 0.0000 0.7310
Tl 0.5000 0.0000 0.3656
Cu 0.5000 0.0000 0.1631
Cu 0.5000 0.0000 0.5692

## Properties
Crystal system   orthorhombic
Calculated volume   21.478 A^3/atom
Total energy   -0.3301 Ry/atom

The following is a DFT calculation (PBE) of a relaxed NaAgGeO3 crystal.

a b c (Å): 10.2970 2.9750 9.9746
angles (deg): 90.00 90.00 90.00
Space group Pnma (No. 62)
One atom of each set of equivalent atoms:
Na 0.2327 0.2500 0.1423
Ag 0.0443 0.2500 0.9050
Ge 0.0269 0.2500 0.3719
O 0.0934 0.2500 0.5463
O 0.0942 0.7500 0.7659
O 0.1229 0.7500 0.3053

## Properties
Crystal system   orthorhombic
Calculated volume   12.732 A^3/atom
Total energy   -0.3739 Ry/atom

The following is a DFT calculation (PBE) of a relaxed ZnFeNiPb crystal.

a b c (Å): 6.2009 6.2009 6.2009
angles (deg): 90.00 90.00 90.00
Space group F-43m (No. 216)
One atom of each set of equivalent atoms:
Zn 0.0000 0.0000 0.0000
Fe 0.2500 0.2500 0.7500
Ni 0.0000 0.0000 0.5000
Pb 0.2500 0.2500 0.2500

## Properties
Energy relative to the lowest polymorph listed for this composition   56.7 kJ/mol of formula units
Crystal system   cubic
Calculated volume   14.902 A^3/atom
Total energy   -0.3138 Ry/atom